Arrangement i

Compound: CePuAgPt
Source: Alexandria via LeMat-Bulk
Functional: PBE
Structure: optimized geometry Values from VASP.

Summary:
**Crystal system**: cubic
**Density**: 13.934 g cm⁻³

```
&SYSTEM
  ibrav = 0, nat = 16, ntyp = 4
/
ATOMIC_SPECIES
Ce 140.12 Ce.upf
Pu 244.00 Pu.upf
Ag 107.87 Ag.upf
Pt 195.08 Pt.upf
CELL_PARAMETERS angstrom
6.8931 0.0000 0.0000
0.0000 6.8931 0.0000
0.0000 0.0000 6.8931
ATOMIC_POSITIONS crystal
Ce 0.0000 0.0000 0.0000
Ce 0.0000 0.5000 0.5000
Ce 0.5000 0.0000 0.5000
Ce 0.5000 0.5000 0.0000
Pu 0.2500 0.2500 0.7500
Pu 0.2500 0.7500 0.2500
Pu 0.7500 0.2500 0.2500
Pu 0.7500 0.7500 0.7500
Ag 0.0000 0.0000 0.5000
Ag 0.0000 0.5000 0.0000
Ag 0.5000 0.0000 0.0000
Ag 0.5000 0.5000 0.5000
Pt 0.2500 0.2500 0.2500
Pt 0.2500 0.7500 0.7500
Pt 0.7500 0.2500 0.7500
Pt 0.7500 0.7500 0.2500
```

***

Arrangement ii

Compound: CePuAgPt
Source: Alexandria via LeMat-Bulk
Functional: PBE
Structure: optimized geometry Values from VASP.

Summary:
**Crystal system**: cubic
**Density**: 12.195 g cm⁻³

```
&SYSTEM
  ibrav = 0, nat = 16, ntyp = 4
/
ATOMIC_SPECIES
Ce 140.12 Ce.upf
Pu 244.00 Pu.upf
Ag 107.87 Ag.upf
Pt 195.08 Pt.upf
CELL_PARAMETERS angstrom
7.2063 0.0000 0.0000
0.0000 7.2063 0.0000
0.0000 0.0000 7.2063
ATOMIC_POSITIONS crystal
Ce 0.0000 0.0000 0.0000
Ce 0.0000 0.5000 0.5000
Ce 0.5000 0.0000 0.5000
Ce 0.5000 0.5000 0.0000
Pu 0.0000 0.0000 0.5000
Pu 0.0000 0.5000 0.0000
Pu 0.5000 0.0000 0.0000
Pu 0.5000 0.5000 0.5000
Ag 0.2500 0.2500 0.2500
Ag 0.2500 0.7500 0.7500
Ag 0.7500 0.2500 0.7500
Ag 0.7500 0.7500 0.2500
Pt 0.2500 0.2500 0.7500
Pt 0.2500 0.7500 0.2500
Pt 0.7500 0.2500 0.2500
Pt 0.7500 0.7500 0.7500
```

***

Q: Which of them is the most stable? A: arrangement i.